No. 1
A relaxed Ac5PuAu6 crystal. Source: Alexandria, functional GGA-PBE.

```
Ac5PuAu6
1.0
-1.160 -0.922 -5.274
-1.394 -7.403 1.601
-9.190 -2.365 -0.415
Ac Au Pu
5 6 1
Direct
0.661 0.161 0.678
0.330 0.330 0.339
0.000 0.500 0.000
0.670 0.670 0.661
0.339 0.839 0.322
0.838 0.593 0.324
0.838 0.083 0.324
0.500 0.752 0.000
0.500 0.248 0.000
0.162 0.917 0.676
0.162 0.407 0.676
0.000 0.000 0.000
```

Summary:
Spin magnetization = 5.62 μB per cell
ΔH_f (0 K) = -8.39 eV per formula unit

---

No. 2
A relaxed ScTiPt3 crystal. Source: Alexandria, functional GGA-PBE.

```
ScTiPt3
1.0
-3.716 1.444 -2.477
-0.359 -4.258 -1.942
-2.845 -1.348 3.481
Sc Pt Ti
1 3 1
Direct
0.500 0.500 0.500
0.000 0.500 0.000
0.000 0.000 0.500
0.500 0.000 0.000
0.000 0.000 0.000
```

Summary:
Energy relative to the lowest polymorph listed for this composition = 0.660 eV per atom
Spin magnetization = 0.00 μB per cell
ΔH_f (0 K) = -0.51 eV per formula unit

---

No. 3
A relaxed La3InPb4 crystal. Source: Alexandria, functional GGA-PBE.

```
La3InPb4
1.0
0.000 6.347 6.277
6.273 0.000 6.277
6.273 6.347 0.000
La In Pb
6 2 8
Direct
0.336 0.341 0.664
0.659 0.664 0.341
0.847 0.153 0.842
0.158 0.842 0.153
0.245 0.255 0.255
0.745 0.755 0.755
0.684 0.037 0.316
0.963 0.316 0.037
0.495 0.005 0.005
0.995 0.505 0.505
0.182 0.818 0.530
0.470 0.530 0.818
0.332 0.967 0.668
0.033 0.668 0.967
0.821 0.179 0.464
0.536 0.464 0.179
```

Summary:
Spin magnetization = 0.00 μB per cell
ΔH_f (0 K) = -4.50 eV per formula unit

---

No. 4
A relaxed Zr2Tc2C3 crystal. Source: Alexandria, functional GGA-PBE.

```
Zr2Tc2C3
1.0
-1.082 2.533 1.600
-3.873 -3.141 2.354
5.133 -1.243 2.268
Zr Tc C
2 2 3
Direct
0.612 0.836 0.223
0.388 0.164 0.777
0.845 0.665 0.689
0.155 0.335 0.311
0.000 0.000 0.000
0.758 0.256 0.517
0.242 0.744 0.483
```

Summary:
Spin magnetization = 0.00 μB per cell
ΔH_f (0 K) = -3.29 eV per formula unit

---

No. 5
A relaxed Li2InPbO4 crystal. Source: Alexandria, functional GGA-PBE.

```
Li2InPbO4
1.0
4.504 0.002 0.000
-0.002 4.504 0.000
-2.251 -2.253 4.946
Li In Pb O
2 1 1 4
Direct
0.250 0.750 0.500
0.000 0.000 0.000
0.500 0.500 0.000
0.750 0.250 0.500
0.996 0.496 0.992
0.504 0.004 0.008
0.723 0.723 0.446
0.277 0.277 0.554
```

Summary:
Spin magnetization = 0.00 μB per cell
Uncorrected formation energy = -1.4581 eV/atom

---

No. 6
A relaxed UCr3 crystal. Source: Alexandria, functional GGA-PBE.

```
UCr3
1.0
-0.670 2.221 -1.678
-3.407 0.686 2.269
2.442 2.855 2.803
Cr U
3 1
Direct
0.000 0.500 0.339
0.500 0.000 0.502
0.500 0.500 0.815
0.000 0.000 0.011
```

Summary:
Energy relative to the lowest polymorph listed for this composition = 0.100 eV per atom
Spin magnetization = 0.00 μB per cell
ΔH_f (0 K) = 1.79 eV per formula unit

---

No. 7
A relaxed ScAs2Os crystal. Source: Alexandria, functional GGA-PBE.

```
ScAs2Os
1.0
3.161 0.000 0.000
0.000 3.845 0.000
0.000 0.000 5.629
As Os Sc
2 1 1
Direct
0.000 0.000 0.957
0.500 0.500 0.301
0.000 0.000 0.455
0.500 0.500 0.787
```

Summary:
Energy relative to the lowest polymorph listed for this composition = 0.122 eV per atom
Spin magnetization = 0.00 μB per cell
ΔH_f (0 K) = -1.18 eV per formula unit

---

No. 8
A relaxed Li2ScNbCo crystal. Source: Alexandria, functional GGA-PBE.

```
Li2ScNbCo
1.0
-0.566 -3.631 -2.424
-1.499 -2.054 3.428
-4.083 1.306 -1.003
Sc Nb Co Li
1 1 1 2
Direct
0.000 0.000 0.000
0.500 0.500 0.500
0.000 0.500 0.000
0.000 0.000 0.500
0.500 0.000 0.000
```

Summary:
Spin magnetization = 1.10 μB per cell
ΔH_f (0 K) = 5.47 eV per formula unit

---

No. 9
A relaxed Zr2Tl3 crystal. Source: Alexandria, functional GGA-PBE.

```
Zr2Tl3
1.0
2.518 -4.361 0.000
2.518 4.361 0.000
0.000 0.000 6.164
Zr Tl
2 3
Direct
0.667 0.333 0.127
0.333 0.667 0.873
0.000 0.000 0.000
0.667 0.333 0.623
0.333 0.667 0.377
```

Summary:
Energy relative to the lowest polymorph listed for this composition = 0.121 eV per atom
Spin magnetization = 1.09 μB per cell
ΔH_f (0 K) = 0.68 eV per formula unit

---

No. 10
A relaxed Bi3PF crystal. Source: Alexandria, functional GGA-PBE.

```
Bi3PF
1.0
5.050 0.000 0.000
0.000 5.050 0.000
0.000 0.000 5.050
P Bi F
1 3 1
Direct
0.500 0.500 0.500
0.000 0.500 0.000
0.000 0.000 0.500
0.500 0.000 0.000
0.000 0.000 0.000
```

Summary:
Energy relative to the lowest polymorph listed for this composition = 0.000 eV per atom
Spin magnetization = 0.00 μB per cell
Uncorrected formation energy = 0.1188 eV/atom

---

No. 11
A relaxed Ti5Fe4Ir crystal. Source: Alexandria, functional GGA-PBE.

```
Ti5Fe4Ir
1.0
-2.318 -1.103 1.518
-0.860 -1.519 -2.418
8.400 -11.678 4.346
Ti Fe Ir
5 4 1
Direct
0.500 0.500 0.111
0.500 0.500 0.305
0.500 0.500 0.500
0.500 0.500 0.695
0.500 0.500 0.889
0.000 0.000 0.205
0.000 0.000 0.402
0.000 0.000 0.598
0.000 0.000 0.795
0.000 0.000 0.000
```

Summary:
Spin magnetization = 0.79 μB per cell
ΔH_f (0 K) = -4.94 eV per formula unit

---

No. 12
A relaxed MoPbAu crystal. Source: Alexandria, functional GGA-PBE.

```
MoPbAu
1.0
-6.485 1.438 -3.272
-4.802 0.600 -5.604
-1.303 -2.697 0.027
Au Mo Pb
1 1 1
Direct
0.025 0.025 0.975
0.654 0.654 0.346
0.320 0.320 0.680
```

Summary:
Energy relative to the lowest polymorph listed for this composition = 0.000 eV per atom
Spin magnetization = 0.00 μB per cell
ΔH_f (0 K) = 1.66 eV per formula unit

---

No. 13
A relaxed Y3TmTh crystal. Source: Alexandria, functional GGA-PBE.

```
Y3TmTh
1.0
6.252 0.006 -0.014
-3.120 7.097 -5.595
-0.010 -2.148 8.963
Y Tm Th
6 2 2
Direct
0.838 0.498 0.243
0.772 0.701 0.744
0.442 0.705 0.259
0.558 0.295 0.741
0.162 0.502 0.757
0.228 0.299 0.256
0.631 0.095 0.245
0.369 0.905 0.755
0.978 0.096 0.749
0.022 0.904 0.251
```

Summary:
Energy relative to the lowest polymorph listed for this composition = 0.000 eV per atom
Spin magnetization = 0.00 μB per cell
ΔH_f (0 K) = 0.13 eV per formula unit

---

For the records above, the corresponding uncorrected energy values read -5.244, -6.572, -4.607, -9.827, -5.221, -9.593, -7.009, -4.373, -4.702, -3.666, -8.713, -5.387, -6.231 eV/atom.